This record from Alexandria describes crystalline NaTlPt2 at its relaxed geometry. The functional is PBE.

Cell: 4.2056 4.2056 4.0745 Å, 90.00 90.00 90.00°
Last column: nearest neighbours and their distance in Å.
Fractional positions:
Na1 0.0000 0.0000 0.0000  8 Pt 2.93, 4 Tl 2.97
Tl1 0.5000 0.5000 0.0000  8 Pt 2.93, 4 Na 2.97
Pt1 0.0000 0.5000 0.5000  4 Tl 2.93, 4 Na 2.93, 4 Pt 2.97
Pt2 0.5000 0.0000 0.5000  4 Tl 2.93, 4 Na 2.93, 4 Pt 2.97

Properties
- Space-group type: P4/mmm, No. 123
- DOS(E_F): 1.24 states/eV per cell
- Crystal system: tetragonal
- DFT formation energy: -0.12 eV/atom